Entry from the Alexandria database: a relaxed structure of Ba3NaBr (PBEsol).

Summary:
The calculation puts the density of states at the Fermi level at 1.58 states/eV per atom. The energy relative to the elements, uncorrected is -493 meV/atom.

Cell: 6.3538 6.3538 6.3538 Å, 90.00 90.00 90.00°
With the nearest neighbours (Å) after each atom.
Fractional coordinates of all 5 atoms:
Ba: 0.0000 0.5000 0.0000  2 Br 3.18
Na: 0.5000 0.5000 0.5000  12 Ba 4.49
Br: 0.0000 0.0000 0.0000  6 Ba 3.18
Ba: 0.5000 0.0000 0.0000  2 Br 3.18
Ba: 0.0000 0.0000 0.5000  2 Br 3.18